The following is a PBE calculation of an optimized crystal structure of ReTe2Br, from Alexandria.

extended XYZ file:
```
16
Lattice="7.177 0.000 0.000 0.000 7.177 0.000 0.000 0.000 10.723" Properties=species:S:1:pos:R:3 pbc="T T T"
Re 0.000 0.000 0.000
Re 0.000 3.589 2.681
Re 3.589 0.000 8.043
Re 3.589 3.589 5.362
Te 1.178 1.794 1.340
Te 1.794 4.766 4.021
Te 1.794 5.999 9.383
Te 2.411 1.794 6.702
Te 4.766 5.383 6.702
Te 5.383 1.178 9.383
Te 5.383 2.411 4.021
Te 5.999 5.383 1.340
Br 0.000 0.000 5.362
Br 0.000 3.589 8.043
Br 3.589 0.000 2.681
Br 3.589 3.589 0.000
```

Calculated values
Energy relative to the lowest polymorph listed for this composition = 0.434 eV/atom
DOS(E_F) = 3.5 states/eV/f.u.
Formation energy from raw total energies = 0.394 eV per atom

=====

The following is a PBE calculation of an optimized crystal structure of TiZnRh, from Alexandria.

extended XYZ file:
```
6
Lattice="3.001 0.000 0.000 0.000 3.001 0.000 0.000 0.000 9.935" Properties=species:S:1:pos:R:3 pbc="T T T"
Ti 0.000 0.000 0.000
Ti 0.000 0.000 3.351
Zn 0.000 0.000 6.492
Zn 1.500 1.500 8.099
Rh 1.500 1.500 1.725
Rh 1.500 1.500 4.848
```

Calculated values
Formation energy from the elements = -0.528 eV/atom
DOS(E_F) = 1.5 states/eV/f.u.

=====

The following is a PBE calculation of an optimized crystal structure of CuAgRh2, from Alexandria.

extended XYZ file:
```
4
Lattice="2.768 0.000 0.000 0.000 2.768 0.000 0.000 0.000 7.659" Properties=species:S:1:pos:R:3 pbc="T T T"
Cu 0.000 0.000 0.000
Ag 1.384 1.384 5.726
Rh 0.000 0.000 3.576
Rh 1.384 1.384 1.792
```

Calculated values
Formation energy from the elements = 0.112 eV/atom
Energy relative to the lowest polymorph listed for this composition = 0.000 eV/atom
DOS(E_F) = 4.2 states/eV/f.u.

=====

The following is a PBE calculation of an optimized crystal structure of BaRh2W, from Alexandria.

extended XYZ file:
```
12
Lattice="4.305 0.000 0.000 -2.152 3.728 0.000 0.000 0.000 18.034" Properties=species:S:1:pos:R:3 pbc="T T T"
Ba 0.000 0.000 0.000
Ba 0.000 2.485 12.023
Ba 2.152 1.243 6.011
Rh 0.000 0.000 3.656
Rh 0.000 0.000 14.378
Rh 0.000 2.485 8.367
Rh 0.000 2.485 15.679
Rh 2.152 1.243 2.356
Rh 2.152 1.243 9.667
W 0.000 0.000 9.017
W 0.000 2.485 3.006
W 2.152 1.243 15.029
```

Calculated values
Formation energy from the elements = 0.118 eV/atom
Energy relative to the lowest polymorph listed for this composition = 0.000 eV/atom
DOS(E_F) = 4.4 states/eV/f.u.